Density functional theory data (PBE-GGA) for a relaxed structure of Ac2NdSmO6.

Unit cell a=6.146 b=6.352 c=8.933 alpha=90.00 beta=90.08 gamma=90.00
Atoms (fractional coordinates):
Sm (0.500, 0.000, 0.500)
O (0.192, 0.197, 0.073)
O (0.308, 0.697, 0.427)
O (0.195, 0.193, 0.429)
Nd (0.000, 0.500, 0.500)
O (0.633, 0.065, 0.252)
O (0.805, 0.807, 0.571)
O (0.305, 0.693, 0.071)
Ac (0.017, 0.952, 0.250)
O (0.367, 0.935, 0.748)
O (0.867, 0.565, 0.248)
Ac (0.517, 0.548, 0.750)
Ac (0.483, 0.452, 0.250)
Sm (0.000, 0.500, 0.000)
Ac (0.983, 0.048, 0.750)
O (0.133, 0.435, 0.752)
O (0.808, 0.803, 0.927)
O (0.695, 0.307, 0.929)
Nd (0.500, 0.000, 0.000)
O (0.692, 0.303, 0.573)

Computed properties:
total magnetic moment	0.000	μB/f.u.
E_form (uncorrected)	-3.321	eV/atom
space group	P2_1/c
crystal system	monoclinic